1.
VASP calculation (PBE) on CsRbVCl4 after structural relaxation.

Values from the calculation:
* formation energy from raw total energies: -37.16 kcal/mol of atoms
* energy: -4.229 eV/atom

Unit cell a=9.106 b=9.106 c=9.106 alpha=147.74 beta=147.74 gamma=46.27
Fractional coordinates of all 7 atoms:
Cs (0.000, 0.000, 0.000)
Rb (0.286, 0.286, 0.000)
V (0.644, 0.644, 0.000)
Cl (0.149, 0.649, 0.500)
Cl (0.495, 0.495, 0.000)
Cl (0.649, 0.149, 0.500)
Cl (0.794, 0.794, 0.000)

2.
VASP calculation (PBE) on CrSbW2Cl after structural relaxation.

Values from the calculation:
* formation energy from raw total energies: 31.07 kcal/mol of atoms
* energy: -6.952 eV/atom

Unit cell a=4.737 b=4.737 c=4.200 alpha=90.00 beta=90.00 gamma=90.00
Fractional coordinates of all 5 atoms:
Cr (0.000, 0.000, 0.000)
Sb (0.500, 0.500, 0.500)
W (0.000, 0.500, 0.000)
W (0.500, 0.000, 0.000)
Cl (0.000, 0.000, 0.500)

3.
VASP calculation (PBE) on TaOs3 after structural relaxation.

Values from the calculation:
* energy relative to the elements: 0.1355 eV/atom
* energy: -11.250 eV/atom

Unit cell a=9.315 b=9.315 c=9.315 alpha=17.11 beta=17.11 gamma=17.11
Fractional coordinates of all 4 atoms:
Ta (0.000, 0.000, 0.000)
Os (0.246, 0.246, 0.246)
Os (0.500, 0.500, 0.500)
Os (0.754, 0.754, 0.754)

4.
VASP calculation (PBE) on PaTl2F7 after structural relaxation.

Values from the calculation:
* formation energy from raw total energies: -70.81 kcal/mol of atoms
* energy: -5.803 eV/atom

Unit cell a=8.071 b=8.071 c=8.404 alpha=121.31 beta=121.31 gamma=52.41
Fractional coordinates of all 20 atoms:
Pa (0.034, 0.966, 0.750)
Pa (0.966, 0.034, 0.250)
Tl (0.312, 0.346, 0.905)
Tl (0.346, 0.312, 0.405)
Tl (0.654, 0.688, 0.595)
Tl (0.688, 0.654, 0.095)
F (0.047, 0.290, 0.494)
F (0.059, 0.800, 0.915)
F (0.096, 0.687, 0.202)
F (0.200, 0.941, 0.585)
F (0.290, 0.047, 0.994)
F (0.313, 0.904, 0.298)
F (0.348, 0.652, 0.750)
F (0.652, 0.348, 0.250)
F (0.687, 0.096, 0.702)
F (0.710, 0.953, 0.006)
F (0.800, 0.059, 0.415)
F (0.904, 0.313, 0.798)
F (0.941, 0.200, 0.085)
F (0.953, 0.710, 0.506)

5.
VASP calculation (PBE) on Dy4ScZn after structural relaxation.

Values from the calculation:
* energy above the lowest structure with this stoichiometry: 0.0 kJ/mol of atoms
* energy relative to the elements: -0.0857 eV/atom
* energy: -4.421 eV/atom

Unit cell a=3.519 b=3.519 c=13.288 alpha=90.00 beta=90.00 gamma=90.00
Fractional coordinates of all 6 atoms:
Dy (0.000, 0.000, 0.135)
Dy (0.000, 0.000, 0.865)
Dy (0.500, 0.500, 0.328)
Dy (0.500, 0.500, 0.672)
Sc (0.000, 0.000, 0.500)
Zn (0.500, 0.500, 0.000)

6.
VASP calculation (PBE) on Ca2ErGaTe5 after structural relaxation.

Values from the calculation:
* formation energy from raw total energies: -26.70 kcal/mol of atoms
* energy: -4.191 eV/atom

Unit cell a=10.090 b=10.090 c=13.463 alpha=90.00 beta=90.00 gamma=155.53
Fractional coordinates of all 18 atoms:
Ca (0.119, 0.881, 0.500)
Ca (0.124, 0.876, 0.145)
Ca (0.876, 0.124, 0.645)
Ca (0.881, 0.119, 0.000)
Er (0.204, 0.796, 0.846)
Er (0.796, 0.204, 0.346)
Ga (0.440, 0.560, 0.259)
Ga (0.560, 0.440, 0.759)
Te (0.044, 0.956, 0.877)
Te (0.292, 0.708, 0.504)
Te (0.314, 0.686, 0.182)
Te (0.356, 0.644, 0.826)
Te (0.497, 0.503, 0.590)
Te (0.503, 0.497, 0.090)
Te (0.644, 0.356, 0.326)
Te (0.686, 0.314, 0.682)
Te (0.708, 0.292, 0.004)
Te (0.956, 0.044, 0.377)

7.
VASP calculation (PBE) on BaY2Cd after structural relaxation.

Values from the calculation:
* energy relative to the elements: 0.0468 eV/atom
* energy: -3.895 eV/atom

Unit cell a=11.646 b=11.646 c=11.646 alpha=18.65 beta=18.65 gamma=18.65
Fractional coordinates of all 4 atoms:
Ba (0.000, 0.000, 0.000)
Y (0.235, 0.235, 0.235)
Y (0.487, 0.487, 0.487)
Cd (0.750, 0.750, 0.750)

8.
VASP calculation (PBE) on ScCd2Cl after structural relaxation.

Values from the calculation:
* energy above the lowest structure with this stoichiometry: 12.1 kJ/mol of atoms
* formation energy from raw total energies: -10.72 kcal/mol of atoms
* energy: -2.967 eV/atom

Unit cell a=4.559 b=6.210 c=6.210 alpha=32.40 beta=90.00 gamma=90.00
Fractional coordinates of all 4 atoms:
Sc (0.000, 0.000, 0.000)
Cd (0.000, 0.263, 0.263)
Cd (0.500, 0.644, 0.644)
Cl (0.500, 0.912, 0.912)

9.
VASP calculation (PBE) on Th6TeOs3Ru2 after structural relaxation.

Values from the calculation:
* formation energy from raw total energies: -8.04 kcal/mol of atoms
* energy: -8.674 eV/atom

Unit cell a=9.184 b=9.184 c=8.434 alpha=101.28 beta=101.28 gamma=26.13
Fractional coordinates of all 12 atoms:
Th (0.008, 0.008, 0.282)
Th (0.318, 0.318, 0.897)
Th (0.332, 0.332, 0.400)
Th (0.668, 0.668, 0.600)
Th (0.682, 0.682, 0.103)
Th (0.992, 0.992, 0.718)
Te (0.500, 0.500, 0.000)
Os (0.157, 0.157, 0.844)
Os (0.500, 0.500, 0.500)
Os (0.843, 0.843, 0.156)
Ru (0.170, 0.170, 0.341)
Ru (0.830, 0.830, 0.659)

10.
VASP calculation (PBE) on HIrO2F after structural relaxation.

Values from the calculation:
* energy: -4.907 eV/atom

Unit cell a=3.766 b=3.766 c=4.292 alpha=90.00 beta=90.00 gamma=90.00
Fractional coordinates of all 5 atoms:
H (0.000, 0.000, 0.000)
Ir (0.500, 0.500, 0.500)
O (0.000, 0.500, 0.500)
O (0.500, 0.000, 0.500)
F (0.500, 0.500, 0.000)

11.
VASP calculation (PBE) on CdB3H2Pt8 after structural relaxation.

Values from the calculation:
* energy: -5.340 eV/atom

Unit cell a=5.916 b=5.916 c=5.916 alpha=75.27 beta=75.27 gamma=75.27
Fractional coordinates of all 14 atoms:
Cd (0.000, 0.000, 0.000)
B (0.048, 0.545, 0.545)
B (0.545, 0.048, 0.545)
B (0.545, 0.545, 0.048)
H (0.159, 0.159, 0.159)
H (0.557, 0.557, 0.557)
Pt (0.289, 0.289, 0.289)
Pt (0.294, 0.294, 0.755)
Pt (0.294, 0.755, 0.294)
Pt (0.352, 0.754, 0.754)
Pt (0.754, 0.352, 0.754)
Pt (0.754, 0.754, 0.352)
Pt (0.755, 0.294, 0.294)
Pt (0.792, 0.792, 0.792)

12.
VASP calculation (PBE) on LiGa2Ge2 after structural relaxation.

Values from the calculation:
* energy above the lowest structure with this stoichiometry: 3.2 kJ/mol of atoms
* energy relative to the elements: 0.0074 eV/atom
* energy: -3.433 eV/atom

Unit cell a=7.185 b=7.185 c=3.673 alpha=90.00 beta=90.00 gamma=90.00
Fractional coordinates of all 10 atoms:
Li (0.000, 0.000, 0.000)
Li (0.500, 0.500, 0.000)
Ga (0.162, 0.338, 0.500)
Ga (0.338, 0.838, 0.500)
Ga (0.662, 0.162, 0.500)
Ga (0.838, 0.662, 0.500)
Ge (0.136, 0.636, 0.000)
Ge (0.364, 0.136, 0.000)
Ge (0.636, 0.864, 0.000)
Ge (0.864, 0.364, 0.000)